A.
Here is NaBiRu3 after structural relaxation from Alexandria. Energies are from PBE.

The value obtained for the total moment is 3.83 μB/cell. Its space group is Pm-3m.

Unit cell a=5.0646 b=5.0646 c=5.0646 alpha=90.00 beta=90.00 gamma=90.00
Positions (direct):
1 Ru 0.0000 0.0000 0.5000
2 Ru 0.5000 0.0000 0.0000
3 Ru 0.0000 0.5000 0.0000
4 Na 0.5000 0.5000 0.5000
5 Bi 0.0000 0.0000 0.0000


B.
Here is NaBiRu3 after structural relaxation from Alexandria. Energies are from PBE.

The value obtained for the total moment is 1.94 μB/cell. Its space group is Pm-3m.

Unit cell a=4.5666 b=4.5666 c=4.5666 alpha=90.00 beta=90.00 gamma=90.00
Positions (direct):
1 Ru 0.5000 0.0000 0.0000
2 Bi 0.5000 0.5000 0.5000
3 Ru 0.0000 0.5000 0.0000
4 Na 0.0000 0.0000 0.0000
5 Ru 0.0000 0.0000 0.5000


Least stable: B


A.
Here is NaBiRu after structural relaxation from Alexandria. Energies are from PBE.

The value obtained for the total moment is 0.00 μB/cell. Its space group is Cmcm.

Unit cell a=4.4565 b=13.9043 c=4.5296 alpha=90.00 beta=90.00 gamma=90.00
Positions (direct):
1 Ru 0.5000 0.2499 0.7500
2 Ru 0.0000 0.2501 0.2500
3 Ru 0.0000 0.7499 0.7500
4 Na 0.5000 0.9053 0.7500
5 Na 0.0000 0.4053 0.7500
6 Bi 0.0000 0.8613 0.2500
7 Na 0.0000 0.5947 0.2500
8 Bi 0.5000 0.6387 0.7500
9 Bi 0.5000 0.3613 0.2500
10 Ru 0.5000 0.7501 0.2500
11 Na 0.5000 0.0947 0.2500
12 Bi 0.0000 0.1387 0.7500


B.
Here is NaBiRu after structural relaxation from Alexandria. Energies are from PBE.

The value obtained for the total moment is 0.00 μB/cell. Its space group is C2/m.

Unit cell a=10.8185 b=4.2394 c=7.3578 alpha=90.00 beta=103.23 gamma=90.00
Positions (direct):
1 Na 0.6314 0.5000 0.2103
2 Na 0.6314 0.0000 0.7103
3 Ru 0.9753 0.5000 0.3253
4 Bi 0.8333 0.5000 0.9445
5 Na 0.3686 0.0000 0.2897
6 Ru 0.9753 0.0000 0.8253
7 Bi 0.1667 0.0000 0.5555
8 Bi 0.8333 0.0000 0.4445
9 Ru 0.0247 0.5000 0.6747
10 Ru 0.0247 0.0000 0.1747
11 Na 0.3686 0.5000 0.7897
12 Bi 0.1667 0.5000 0.0555


C.
Here is NaBiRu after structural relaxation from Alexandria. Energies are from PBE.

The value obtained for the total moment is 0.00 μB/cell. Its space group is Cm.

Unit cell a=11.0578 b=4.2161 c=7.3461 alpha=90.00 beta=102.30 gamma=90.00
Positions (direct):
1 Ru 0.2271 0.0000 0.2869
2 Na 0.8419 0.0000 0.4959
3 Ru 0.2271 0.5000 0.7869
4 Na 0.5752 0.0000 0.7352
5 Bi 0.0406 0.0000 0.8918
6 Na 0.5752 0.5000 0.2352
7 Ru 0.1798 0.0000 0.6038
8 Na 0.8419 0.5000 0.9959
9 Ru 0.1798 0.5000 0.1038
10 Bi 0.0406 0.5000 0.3918
11 Bi 0.3683 0.5000 0.4995
12 Bi 0.3683 0.0000 0.9995


Least stable: C